Run i
! PBE-GGA InPbW2, optimized geometry; values from VASP
! * magnetization: 0.0 Bohr magnetons per cell
! * SG: R-3m (166)
&SYSTEM
  ibrav = 0, nat = 12, ntyp = 3
/
ATOMIC_SPECIES
In 114.82 In.upf
Pb 207.20 Pb.upf
W 183.84 W.upf
CELL_PARAMETERS angstrom
3.0550 0.0000 0.0000
-1.5275 2.6457 0.0000
0.0000 0.0000 28.8350
ATOMIC_POSITIONS crystal
In 0.0000 0.0000 0.0000
In 0.3333 0.6667 0.6667
In 0.6667 0.3333 0.3333
Pb 0.0000 0.0000 0.5000
Pb 0.3333 0.6667 0.1667
Pb 0.6667 0.3333 0.8333
W 0.0000 0.0000 0.2512
W 0.0000 0.0000 0.7488
W 0.3333 0.6667 0.4155
W 0.3333 0.6667 0.9179
W 0.6667 0.3333 0.0821
W 0.6667 0.3333 0.5845

=====

Run ii
! PBE-GGA InPbW2, optimized geometry; values from VASP
! * magnetization: 0.0 Bohr magnetons per cell
! * SG: Fm-3m (225)
&SYSTEM
  ibrav = 0, nat = 16, ntyp = 3
/
ATOMIC_SPECIES
In 114.82 In.upf
Pb 207.20 Pb.upf
W 183.84 W.upf
CELL_PARAMETERS angstrom
6.7327 0.0000 0.0000
0.0000 6.7327 0.0000
0.0000 0.0000 6.7327
ATOMIC_POSITIONS crystal
In 0.0000 0.0000 0.0000
In 0.0000 0.5000 0.5000
In 0.5000 0.0000 0.5000
In 0.5000 0.5000 0.0000
Pb 0.0000 0.0000 0.5000
Pb 0.0000 0.5000 0.0000
Pb 0.5000 0.0000 0.0000
Pb 0.5000 0.5000 0.5000
W 0.2500 0.2500 0.2500
W 0.2500 0.2500 0.7500
W 0.2500 0.7500 0.2500
W 0.2500 0.7500 0.7500
W 0.7500 0.2500 0.2500
W 0.7500 0.2500 0.7500
W 0.7500 0.7500 0.2500
W 0.7500 0.7500 0.7500

=====

Stability, highest: run i

=====

Run i
! PBE-GGA InPb3W, optimized geometry; values from VASP
! * magnetization: 0.0 Bohr magnetons per cell
! * SG: Pm-3m (221)
&SYSTEM
  ibrav = 0, nat = 5, ntyp = 3
/
ATOMIC_SPECIES
In 114.82 In.upf
Pb 207.20 Pb.upf
W 183.84 W.upf
CELL_PARAMETERS angstrom
5.4482 0.0000 0.0000
0.0000 5.4482 0.0000
0.0000 0.0000 5.4482
ATOMIC_POSITIONS crystal
In 0.0000 0.0000 0.0000
Pb 0.0000 0.5000 0.5000
Pb 0.5000 0.0000 0.5000
Pb 0.5000 0.5000 0.0000
W 0.5000 0.5000 0.5000

=====

Run ii
! PBE-GGA InPb3W, optimized geometry; values from VASP
! * magnetization: 4.4 Bohr magnetons per cell
! * SG: Pm-3m (221)
&SYSTEM
  ibrav = 0, nat = 5, ntyp = 3
/
ATOMIC_SPECIES
In 114.82 In.upf
Pb 207.20 Pb.upf
W 183.84 W.upf
CELL_PARAMETERS angstrom
5.6444 0.0000 0.0000
0.0000 5.6444 0.0000
0.0000 0.0000 5.6444
ATOMIC_POSITIONS crystal
In 0.0000 0.0000 0.0000
Pb 0.0000 0.0000 0.5000
Pb 0.0000 0.5000 0.0000
Pb 0.5000 0.0000 0.0000
W 0.5000 0.5000 0.5000

=====

Stability, highest: run i

=====

Run i
! PBE-GGA Y2In2Pb, optimized geometry; values from VASP
! * magnetization: 0.0 Bohr magnetons per cell
! * SG: P4/mbm (127)
&SYSTEM
  ibrav = 0, nat = 10, ntyp = 3
/
ATOMIC_SPECIES
Y 88.91 Y.upf
In 114.82 In.upf
Pb 207.20 Pb.upf
CELL_PARAMETERS angstrom
8.7109 0.0000 0.0000
0.0000 8.7109 0.0000
0.0000 0.0000 3.7353
ATOMIC_POSITIONS crystal
Y 0.1787 0.3213 0.0000
Y 0.3213 0.8213 0.0000
Y 0.6787 0.1787 0.0000
Y 0.8213 0.6787 0.0000
In 0.1196 0.6196 0.5000
In 0.3804 0.1196 0.5000
In 0.6196 0.8804 0.5000
In 0.8804 0.3804 0.5000
Pb 0.0000 0.0000 0.5000
Pb 0.5000 0.5000 0.5000

=====

Run ii
! PBE-GGA Y2In2Pb, optimized geometry; values from VASP
! * magnetization: 0.0 Bohr magnetons per cell
! * SG: I4/mmm (139)
&SYSTEM
  ibrav = 0, nat = 10, ntyp = 3
/
ATOMIC_SPECIES
Y 88.91 Y.upf
In 114.82 In.upf
Pb 207.20 Pb.upf
CELL_PARAMETERS angstrom
4.0557 0.0000 0.0000
0.0000 4.0557 0.0000
0.0000 0.0000 17.9952
ATOMIC_POSITIONS crystal
Y 0.0000 0.0000 0.1021
Y 0.0000 0.0000 0.8979
Y 0.5000 0.5000 0.3979
Y 0.5000 0.5000 0.6021
In 0.0000 0.5000 0.2500
In 0.0000 0.5000 0.7500
In 0.5000 0.0000 0.2500
In 0.5000 0.0000 0.7500
Pb 0.0000 0.0000 0.5000
Pb 0.5000 0.5000 0.0000

=====

Run iii
! PBE-GGA Y2In2Pb, optimized geometry; values from VASP
! * magnetization: 0.0 Bohr magnetons per cell
! * SG: P4/mbm (127)
&SYSTEM
  ibrav = 0, nat = 10, ntyp = 3
/
ATOMIC_SPECIES
Y 88.91 Y.upf
In 114.82 In.upf
Pb 207.20 Pb.upf
CELL_PARAMETERS angstrom
8.6146 0.0000 0.0000
0.0000 8.6146 0.0000
0.0000 0.0000 3.9398
ATOMIC_POSITIONS crystal
Y 0.1738 0.3262 0.0000
Y 0.3262 0.8262 0.0000
Y 0.6738 0.1738 0.0000
Y 0.8262 0.6738 0.0000
In 0.1283 0.6283 0.5000
In 0.3717 0.1283 0.5000
In 0.6283 0.8717 0.5000
In 0.8717 0.3717 0.5000
Pb 0.0000 0.0000 0.0000
Pb 0.5000 0.5000 0.0000

=====

Stability, highest: run i

=====

Run i
! PBE-GGA Zn2In2Pb, optimized geometry; values from VASP
! * magnetization: 0.0 Bohr magnetons per cell
! * SG: I4/mmm (139)
&SYSTEM
  ibrav = 0, nat = 10, ntyp = 3
/
ATOMIC_SPECIES
Zn 65.41 Zn.upf
In 114.82 In.upf
Pb 207.20 Pb.upf
CELL_PARAMETERS angstrom
4.3066 0.0000 0.0000
0.0000 4.3066 0.0000
0.0000 0.0000 13.0652
ATOMIC_POSITIONS crystal
Zn 0.0000 0.5000 0.2500
Zn 0.0000 0.5000 0.7500
Zn 0.5000 0.0000 0.2500
Zn 0.5000 0.0000 0.7500
In 0.0000 0.0000 0.1127
In 0.0000 0.0000 0.8873
In 0.5000 0.5000 0.3873
In 0.5000 0.5000 0.6127
Pb 0.0000 0.0000 0.5000
Pb 0.5000 0.5000 0.0000

=====

Run ii
! PBE-GGA Zn2In2Pb, optimized geometry; values from VASP
! * magnetization: 0.0 Bohr magnetons per cell
! * SG: I4/mmm (139)
&SYSTEM
  ibrav = 0, nat = 10, ntyp = 3
/
ATOMIC_SPECIES
Zn 65.41 Zn.upf
In 114.82 In.upf
Pb 207.20 Pb.upf
CELL_PARAMETERS angstrom
4.3992 0.0000 0.0000
0.0000 4.3992 0.0000
0.0000 0.0000 12.3180
ATOMIC_POSITIONS crystal
Zn 0.0000 0.0000 0.0999
Zn 0.0000 0.0000 0.9001
Zn 0.5000 0.5000 0.4001
Zn 0.5000 0.5000 0.5999
In 0.0000 0.5000 0.2500
In 0.0000 0.5000 0.7500
In 0.5000 0.0000 0.2500
In 0.5000 0.0000 0.7500
Pb 0.0000 0.0000 0.5000
Pb 0.5000 0.5000 0.0000

=====

Stability, highest: run ii

=====

Run i
! PBE-GGA Zn2In2Pb, optimized geometry; values from VASP
! * magnetization: 0.0 Bohr magnetons per cell
! * SG: P4/mbm (127)
&SYSTEM
  ibrav = 0, nat = 10, ntyp = 3
/
ATOMIC_SPECIES
Zn 65.41 Zn.upf
In 114.82 In.upf
Pb 207.20 Pb.upf
CELL_PARAMETERS angstrom
8.3916 0.0000 0.0000
0.0000 8.3916 0.0000
0.0000 0.0000 3.3913
ATOMIC_POSITIONS crystal
Zn 0.1656 0.3344 0.0000
Zn 0.3344 0.8344 0.0000
Zn 0.6656 0.1656 0.0000
Zn 0.8344 0.6656 0.0000
In 0.1334 0.6334 0.5000
In 0.3666 0.1334 0.5000
In 0.6334 0.8666 0.5000
In 0.8666 0.3666 0.5000
Pb 0.0000 0.0000 0.5000
Pb 0.5000 0.5000 0.5000

=====

Run ii
! PBE-GGA Zn2In2Pb, optimized geometry; values from VASP
! * magnetization: 0.0 Bohr magnetons per cell
! * SG: P4/mbm (127)
&SYSTEM
  ibrav = 0, nat = 10, ntyp = 3
/
ATOMIC_SPECIES
Zn 65.41 Zn.upf
In 114.82 In.upf
Pb 207.20 Pb.upf
CELL_PARAMETERS angstrom
8.0476 0.0000 0.0000
0.0000 8.0476 0.0000
0.0000 0.0000 3.6633
ATOMIC_POSITIONS crystal
Zn 0.1164 0.3836 0.0000
Zn 0.3836 0.8836 0.0000
Zn 0.6164 0.1164 0.0000
Zn 0.8836 0.6164 0.0000
In 0.1785 0.6785 0.5000
In 0.3215 0.1785 0.5000
In 0.6785 0.8215 0.5000
In 0.8215 0.3215 0.5000
Pb 0.0000 0.0000 0.0000
Pb 0.5000 0.5000 0.0000

=====

Stability, highest: run ii

=====

Run i
! PBE-GGA ZnInPb3, optimized geometry; values from VASP
! * magnetization: 0.0 Bohr magnetons per cell
! * SG: Pm-3m (221)
&SYSTEM
  ibrav = 0, nat = 5, ntyp = 3
/
ATOMIC_SPECIES
Zn 65.41 Zn.upf
In 114.82 In.upf
Pb 207.20 Pb.upf
CELL_PARAMETERS angstrom
5.4445 0.0000 0.0000
0.0000 5.4445 0.0000
0.0000 0.0000 5.4445
ATOMIC_POSITIONS crystal
Zn 0.0000 0.0000 0.0000
In 0.5000 0.5000 0.5000
Pb 0.0000 0.0000 0.5000
Pb 0.0000 0.5000 0.0000
Pb 0.5000 0.0000 0.0000

=====

Run ii
! PBE-GGA ZnInPb3, optimized geometry; values from VASP
! * magnetization: 0.0 Bohr magnetons per cell
! * SG: Pm-3m (221)
&SYSTEM
  ibrav = 0, nat = 5, ntyp = 3
/
ATOMIC_SPECIES
Zn 65.41 Zn.upf
In 114.82 In.upf
Pb 207.20 Pb.upf
CELL_PARAMETERS angstrom
5.8166 0.0000 0.0000
0.0000 5.8166 0.0000
0.0000 0.0000 5.8166
ATOMIC_POSITIONS crystal
Zn 0.0000 0.0000 0.0000
In 0.5000 0.5000 0.5000
Pb 0.0000 0.5000 0.5000
Pb 0.5000 0.0000 0.5000
Pb 0.5000 0.5000 0.0000

=====

Stability, highest: run i

=====

Run i
! PBE-GGA ZrIn2Pb2, optimized geometry; values from VASP
! * magnetization: 0.0 Bohr magnetons per cell
! * SG: P4/mbm (127)
&SYSTEM
  ibrav = 0, nat = 10, ntyp = 3
/
ATOMIC_SPECIES
Zr 91.22 Zr.upf
In 114.82 In.upf
Pb 207.20 Pb.upf
CELL_PARAMETERS angstrom
8.0156 0.0000 0.0000
0.0000 8.0156 0.0000
0.0000 0.0000 4.2673
ATOMIC_POSITIONS crystal
Zr 0.0000 0.0000 0.0000
Zr 0.5000 0.5000 0.0000
In 0.1579 0.3421 0.5000
In 0.3421 0.8421 0.5000
In 0.6579 0.1579 0.5000
In 0.8421 0.6579 0.5000
Pb 0.1477 0.6477 0.0000
Pb 0.3523 0.1477 0.0000
Pb 0.6477 0.8523 0.0000
Pb 0.8523 0.3523 0.0000

=====

Run ii
! PBE-GGA ZrIn2Pb2, optimized geometry; values from VASP
! * magnetization: 0.0 Bohr magnetons per cell
! * SG: P4/mbm (127)
&SYSTEM
  ibrav = 0, nat = 10, ntyp = 3
/
ATOMIC_SPECIES
Zr 91.22 Zr.upf
In 114.82 In.upf
Pb 207.20 Pb.upf
CELL_PARAMETERS angstrom
7.9539 0.0000 0.0000
0.0000 7.9539 0.0000
0.0000 0.0000 4.3035
ATOMIC_POSITIONS crystal
Zr 0.0000 0.0000 0.0000
Zr 0.5000 0.5000 0.0000
In 0.1346 0.3654 0.0000
In 0.3654 0.8654 0.0000
In 0.6346 0.1346 0.0000
In 0.8654 0.6346 0.0000
Pb 0.1697 0.6697 0.5000
Pb 0.3303 0.1697 0.5000
Pb 0.6697 0.8303 0.5000
Pb 0.8303 0.3303 0.5000

=====

Stability, highest: run ii

=====

Run i
! PBE-GGA Zr3InPb, optimized geometry; values from VASP
! * magnetization: 0.0 Bohr magnetons per cell
! * SG: Pm-3m (221)
&SYSTEM
  ibrav = 0, nat = 5, ntyp = 3
/
ATOMIC_SPECIES
Zr 91.22 Zr.upf
In 114.82 In.upf
Pb 207.20 Pb.upf
CELL_PARAMETERS angstrom
5.2813 0.0000 0.0000
0.0000 5.2813 0.0000
0.0000 0.0000 5.2813
ATOMIC_POSITIONS crystal
Zr 0.0000 0.0000 0.5000
Zr 0.0000 0.5000 0.0000
Zr 0.5000 0.0000 0.0000
In 0.0000 0.0000 0.0000
Pb 0.5000 0.5000 0.5000

=====

Run ii
! PBE-GGA Zr3InPb, optimized geometry; values from VASP
! * magnetization: 0.0 Bohr magnetons per cell
! * SG: C2/c (15)
&SYSTEM
  ibrav = 0, nat = 20, ntyp = 3
/
ATOMIC_SPECIES
Zr 91.22 Zr.upf
In 114.82 In.upf
Pb 207.20 Pb.upf
CELL_PARAMETERS angstrom
6.1684 -4.9902 0.0000
6.1684 4.9902 0.0000
-4.6968 0.0000 7.5811
ATOMIC_POSITIONS crystal
Zr 0.0457 0.7742 0.8345
Zr 0.1703 0.4386 0.9611
Zr 0.2258 0.9543 0.6655
Zr 0.2599 0.5241 0.3667
Zr 0.4386 0.1703 0.4611
Zr 0.4759 0.7401 0.1333
Zr 0.5241 0.2599 0.8667
Zr 0.5614 0.8297 0.5389
Zr 0.7401 0.4759 0.6333
Zr 0.7742 0.0457 0.3345
Zr 0.8297 0.5614 0.0389
Zr 0.9543 0.2258 0.1655
In 0.1464 0.8536 0.2500
In 0.4053 0.5947 0.7500
In 0.5947 0.4053 0.2500
In 0.8536 0.1464 0.7500
Pb 0.1040 0.3136 0.5702
Pb 0.3136 0.1040 0.0702
Pb 0.6864 0.8960 0.9298
Pb 0.8960 0.6864 0.4298

=====

Stability, highest: run ii